1.
{"formula": "CaIn2Re", "functional": "PBEsol", "state": "optimized geometry", "cell": [[0.0000, 3.4109, 3.4109], [3.4109, 0.0000, 3.4109], [3.4109, 3.4109, 0.0000]], "species": ["Ca", "In", "In", "Re"], "frac_coords": [[0.0000, 0.0000, 0.0000], [0.2500, 0.2500, 0.2500], [0.7500, 0.7500, 0.7500], [0.5000, 0.5000, 0.5000]], "final_energy_ev_per_atom": -5.067, "spacegroup": "No. 225"}



2.
{"formula": "AsIr2Cl", "functional": "PBEsol", "state": "optimized geometry", "cell": [[4.4253, 0.0000, 0.0000], [0.0000, 4.4253, 0.0000], [0.0000, 0.0000, 3.0279]], "species": ["As", "Ir", "Ir", "Cl"], "frac_coords": [[0.0000, 0.0000, 0.0000], [0.0000, 0.5000, 0.5000], [0.5000, 0.0000, 0.5000], [0.5000, 0.5000, 0.0000]], "e_above_lowest_polymorph_mev_per_atom": 391.9, "spacegroup": "No. 123"}



3.
{"formula": "ZrCdAg2", "functional": "PBEsol", "state": "optimized geometry", "cell": [[2.9897, 0.0000, 0.0000], [0.0000, 2.9897, 0.0000], [0.0000, 0.0000, 8.2585]], "species": ["Zr", "Cd", "Ag", "Ag"], "frac_coords": [[0.0000, 0.0000, 0.0000], [0.0000, 0.0000, 0.5000], [0.5000, 0.5000, 0.2560], [0.5000, 0.5000, 0.7440]], "final_energy_ev_per_atom": -4.307, "spacegroup": "No. 123"}